(1)
A plane-wave DFT calculation with PBE was carried out for a geometry-optimized LuCdInTe3 structure.

Unit cell a=8.630 b=4.413 c=11.145 alpha=90.00 beta=107.44 gamma=90.00
Fractional coordinates of all 12 atoms:
Cd  0.425  0.750  0.388
Cd  0.575  0.250  0.612
In  0.759  0.250  0.281
In  0.241  0.750  0.719
Lu  0.187  0.250  0.141
Lu  0.813  0.750  0.859
Te  0.432  0.750  0.139
Te  0.941  0.750  0.141
Te  0.238  0.250  0.438
Te  0.762  0.750  0.562
Te  0.059  0.250  0.859
Te  0.568  0.250  0.861

Mass density, g/cm3: 6.4
Uncorrected energy, eV/atom: -3.644

---

(2)
A plane-wave DFT calculation with PBE was carried out for a geometry-optimized NdN structure.

Unit cell a=3.882 b=3.882 c=3.882 alpha=60.00 beta=60.00 gamma=60.00
Fractional coordinates of all 2 atoms:
N  0.000  0.000  0.000
Nd  0.250  0.250  0.250

Mass density, g/cm3: 6.4
Uncorrected energy, eV/atom: -7.767

---

(3)
A plane-wave DFT calculation with PBE was carried out for a geometry-optimized TmScGa2Ni4 structure.

Unit cell a=4.111 b=4.111 c=8.331 alpha=90.00 beta=90.00 gamma=120.00
Fractional coordinates of all 8 atoms:
Ga  0.333  0.667  0.240
Ga  0.333  0.667  0.760
Ni  0.667  0.333  0.165
Ni  0.000  0.000  0.315
Ni  0.000  0.000  0.685
Ni  0.667  0.333  0.835
Sc  0.000  0.000  0.000
Tm  0.667  0.333  0.500

Mass density, g/cm3: 8.0
Uncorrected energy, eV/atom: -5.474

---

(4)
A plane-wave DFT calculation with PBE was carried out for a geometry-optimized YTlCoCu structure.

Unit cell a=4.762 b=4.762 c=4.762 alpha=60.00 beta=60.00 gamma=60.00
Fractional coordinates of all 4 atoms:
Co  0.500  0.500  0.500
Cu  0.750  0.750  0.750
Tl  0.000  0.000  0.000
Y  0.250  0.250  0.250

Mass density, g/cm3: 9.0
Uncorrected energy, eV/atom: -4.702